VASP calculation (PBE) on a geometry-optimized BeSiAsSe2 structure.

Structure (POSCAR):
```
BeSiAsSe2
1.0
-2.395 -2.783 -3.038
3.468 0.535 -3.225
2.260 -3.892 1.784
Se Si As Be
2 1 1 1
Direct
0.500 0.000 0.000 Se
0.000 0.500 0.000 Se
0.000 0.000 0.000 Si
0.000 0.000 0.500 As
0.500 0.500 0.500 Be
```

Computed properties:
* E_tot: -16.53 eV per cell
* volume: 21.99 Å³/atom
* raw formation energy: 409 kJ/mol of formula units
* offset from the most stable computed form: 1.66 eV per formula unit
* SG: P4/mmm
* DOS at the Fermi energy: 3.7 states/eV per cell



VASP calculation (PBE) on a geometry-optimized SrBeAsSe2 structure.

Structure (POSCAR):
```
SrBeAsSe2
1.0
-4.379 2.154 1.542
-1.328 -4.362 2.324
1.909 1.323 3.574
As Sr Se Be
1 1 2 1
Direct
0.000 0.000 0.500 As
0.500 0.500 0.500 Sr
0.000 0.500 0.000 Se
0.500 0.000 0.000 Se
0.000 0.000 0.000 Be
```

Computed properties:
* E_tot: -19.76 eV per cell
* volume: 22.33 Å³/atom
* raw formation energy: -264 kJ/mol of formula units
* offset from the most stable computed form: 0.00 eV per formula unit
* SG: P4/mmm
* DOS at the Fermi energy: 0.7 states/eV per cell



VASP calculation (PBE) on a geometry-optimized SrBeAsSe2 structure.

Structure (POSCAR):
```
SrBeAsSe2
1.0
-5.329 1.344 1.799
-1.897 -5.173 -1.754
1.240 -2.277 5.374
Be Se Sr As
1 2 1 1
Direct
0.500 0.500 0.500 Be
0.000 0.500 0.000 Se
0.500 0.000 0.000 Se
0.000 0.000 0.000 Sr
0.000 0.000 0.500 As
```

Computed properties:
* E_tot: -12.09 eV per cell
* volume: 39.90 Å³/atom
* raw formation energy: 477 kJ/mol of formula units
* offset from the most stable computed form: 7.67 eV per formula unit
* SG: P4/mmm
* DOS at the Fermi energy: 7.6 states/eV per cell



VASP calculation (PBE) on a geometry-optimized TaBeAs2Se structure.

Structure (POSCAR):
```
TaBeAs2Se
1.0
4.281 0.000 0.000
0.000 4.281 0.000
0.000 0.000 4.869
As Se Ta Be
2 1 1 1
Direct
0.500 0.000 0.000 As
0.000 0.500 0.000 As
0.000 0.000 0.500 Se
0.500 0.500 0.500 Ta
0.000 0.000 0.000 Be
```

Computed properties:
* E_tot: -24.81 eV per cell
* volume: 17.85 Å³/atom
* raw formation energy: 343 kJ/mol of formula units
* offset from the most stable computed form: 0.12 eV per formula unit
* SG: P4/mmm
* DOS at the Fermi energy: 3.8 states/eV per cell